DFT (GGA-PBE) results for Fe3Pt2Rh after structural relaxation.

Output
N(E_F) in states/eV per atom: 1.090
V in Å³/atom: 13.76
E in Ry per atom: -0.561
Magnetic moment in μB per cell: 3.140

Cell lengths 2.740, 2.740, 10.997 Å; angles 90.00, 90.00, 90.00 degrees
Site moments in Bohr magnetons follow the coordinates.
Fractional coordinates of all 6 atoms:
1 Pt 0.500 0.500 0.168  0.05
2 Pt 0.500 0.500 0.832  0.05
3 Fe 0.000 0.000 0.000  2.99
4 Fe 0.000 0.000 0.662  -2.89
5 Fe 0.000 0.000 0.338  -2.89
6 Rh 0.500 0.500 0.500  -0.49